[1]
DFT (PBE) results for an optimized crystal structure of Rb3Ce2ThSe6.

As for the raw formation energy: -1628 meV/atom. For the total energy, the calculation gives -62.63 eV per formula unit.

It has space group C2/m (No. 12), with a = 7.581 Å, b = 13.129 Å, c = 8.432 Å, α = 90.00°, β = 107.44° and γ = 90.00°. The asymmetric unit holds Rb at (0.000, 0.000, 0.000), Rb at (0.000, 0.332, 0.000), Ce at (0.000, 0.167, 0.500), Th at (0.000, 0.500, 0.500), Se at (0.231, 0.337, 0.702) and Se at (0.241, 0.000, 0.702).

=====

[2]
DFT (PBE) results for an optimized crystal structure of Rb4CeTh3Se8.

As for the raw formation energy: -1558 meV/atom. For the total energy, the calculation gives -84.87 eV per formula unit.

It has space group R-3m (No. 166, hexagonal axes), with a = 8.6048 Å, b = 8.6048 Å, c = 24.4081 Å, α = 90.00°, β = 90.00° and γ = 120.00°. The asymmetric unit holds Rb at (0.0000, 0.0000, 0.0000), Rb at (0.0000, 0.5000, 0.0000), Ce at (0.0000, 0.0000, 0.5000), Th at (0.0000, 0.5000, 0.5000), Se at (0.0000, 0.0000, 0.2352) and Se at (0.0042, 0.5021, 0.7649).

=====

[3]
DFT (PBE) results for an optimized crystal structure of Rb3Ce3ThSe8.

As for the raw formation energy: -1694 meV/atom. For the total energy, the calculation gives -81.41 eV per formula unit.

It has space group R-3m (No. 166, hexagonal axes), with a = 8.7538 Å, b = 8.7538 Å, c = 24.3016 Å, α = 90.00°, β = 90.00° and γ = 120.00°. The asymmetric unit holds Rb at (0.0000, 0.5000, 0.0000), Ce at (0.0000, 0.5000, 0.5000), Th at (0.0000, 0.0000, 0.5000), Se at (0.0000, 0.0000, 0.2326) and Se at (0.0065, 0.5032, 0.2315).